Density functional theory data (PBE-GGA) for LaBeAg2Te after structural relaxation.

The density of states at the Fermi level comes out at 1.202 states/eV per atom. The theoretical density comes out at 4.9 g cm⁻³. Its formation energy (no corrections) is 0.59 eV/atom. The space-group type is P4/mmm. The value obtained for the size of the total moment is 0.0 μB/cell.

Unit cell a=5.203 b=5.203 c=6.097 alpha=90.00 beta=90.00 gamma=90.00
Sites, in units of the cell vectors:
1 La 0.000 0.000 0.000
2 Be 0.500 0.500 0.000
3 Ag 0.000 0.500 0.500
4 Ag 0.500 0.000 0.500
5 Te 0.000 0.000 0.500

Density functional theory data (PBE-GGA) for LaBeTlAg2 after structural relaxation.

The density of states at the Fermi level comes out at 1.012 states/eV per atom. For the formation enthalpy at 0 K, the calculation gives 0.169 eV per atom. The theoretical density comes out at 7.9 g cm⁻³. The space-group type is P4/mmm. The value obtained for the size of the total moment is 0.0 μB/cell.

Unit cell a=4.699 b=4.699 c=5.400 alpha=90.00 beta=90.00 gamma=90.00
Sites, in units of the cell vectors:
1 La 0.000 0.000 0.000
2 Be 0.000 0.000 0.500
3 Tl 0.500 0.500 0.000
4 Ag 0.000 0.500 0.500
5 Ag 0.500 0.000 0.500

Density functional theory data (PBE-GGA) for LaBe2VAg after structural relaxation.

The density of states at the Fermi level comes out at 0.610 states/eV per atom. For the formation enthalpy at 0 K, the calculation gives 0.632 eV per atom. The theoretical density comes out at 5.1 g cm⁻³. The space-group type is P4/mmm. The value obtained for the size of the total moment is 2.9 μB/cell.

Unit cell a=4.552 b=4.552 c=4.958 alpha=90.00 beta=90.00 gamma=90.00
Sites, in units of the cell vectors:
1 La 0.000 0.000 0.000
2 Be 0.000 0.500 0.500
3 Be 0.500 0.000 0.500
4 V 0.500 0.500 0.500
5 Ag 0.500 0.500 0.000

Density functional theory data (PBE-GGA) for LaBeAgW2 after structural relaxation.

The density of states at the Fermi level comes out at 0.913 states/eV per atom. For the formation enthalpy at 0 K, the calculation gives 2.689 eV per atom. The theoretical density comes out at 9.4 g cm⁻³. The space-group type is P4/mmm. The value obtained for the size of the total moment is 0.0 μB/cell.

Unit cell a=4.890 b=4.890 c=4.597 alpha=90.00 beta=90.00 gamma=90.00
Sites, in units of the cell vectors:
1 La 0.000 0.000 0.000
2 Be 0.000 0.000 0.500
3 Ag 0.500 0.500 0.500
4 W 0.000 0.500 0.000
5 W 0.500 0.000 0.000